The following is a GGA-PBE calculation of a relaxed structure of KRbAg2Cl4, from the Alexandria database.

Values from the calculation:
crystal system = orthorhombic
formation energy without anion corrections = -27.6 kcal/mol of atoms
E = -3.09 eV/atom

a b c (Å): 7.633 7.811 8.324
angles (deg): 90.00 90.00 90.00
Space group I222 (No. 23)
Symmetry-distinct sites (fractional):
K: 0.000 0.000 0.000 x2
Rb: 0.000 0.000 0.500 x2
Ag: 0.000 0.500 0.311 x4
Cl: 0.230 0.292 0.291 x8